Entry 1:
# Tl2FeOs

A geometry-optimized Tl2FeOs structure (PBE-GGA, the Alexandria database).

```
Tl2FeOs
1.0
-1.515 2.340 5.822
1.515 -2.340 5.822
1.515 2.340 -5.822
Tl Fe Os
2 1 1
direct
0.000 0.000 0.000
0.720 0.220 0.500
0.405 0.405 0.000
0.239 0.739 0.500
```

Values from the calculation:
The calculation puts the total energy at -5.335 eV per atom. For the density of states at the Fermi level, the calculation gives 0.76 states/eV per atom. The calculation puts the density at 13.2 g cm⁻³. The calculation puts the calculated formation energy at 74.4 kJ per mole of atoms. The value obtained for the offset from the most stable computed form is 226 meV/atom.

---

Entry 2:
# YCuRe

A geometry-optimized YCuRe structure (PBE-GGA, the Alexandria database).

```
YCuRe
1.0
0.000 3.257 3.257
3.257 0.000 3.257
3.257 3.257 0.000
Y Cu Re
1 1 1
direct
0.000 0.000 0.000
0.250 0.250 0.250
0.750 0.750 0.750
```

Values from the calculation:
The calculation puts the total energy at -6.194 eV per atom. For the density of states at the Fermi level, the calculation gives 1.74 states/eV per atom. The calculation puts the density at 8.1 g cm⁻³. The calculation puts the calculated formation energy at 142.4 kJ per mole of atoms. The value obtained for the offset from the most stable computed form is 1147 meV/atom.

---

Entry 3:
# BaZr2Sc

A geometry-optimized BaZr2Sc structure (PBE-GGA, the Alexandria database).

```
BaZr2Sc
1.0
3.497 0.000 0.000
0.000 4.223 0.000
0.000 0.000 8.153
Ba Zr Sc
1 2 1
direct
0.000 0.000 0.000
0.000 0.000 0.521
0.500 0.500 0.696
0.500 0.500 0.327
```

Values from the calculation:
The calculation puts the total energy at -6.037 eV per atom. For the density of states at the Fermi level, the calculation gives 1.54 states/eV per atom. The calculation puts the density at 5.0 g cm⁻³. The calculation puts the calculated formation energy at 29.0 kJ per mole of atoms. The value obtained for the offset from the most stable computed form is 18 meV/atom.